VASP calculation (PBE) on a relaxed structure of Nd3ZnCu4.

Calculated values
For the formation enthalpy at 0 K, the calculation gives -0.04 eV/atom. As for the space-group type: Immm. For the total energy, the calculation gives -4.03 eV per atom.

Cell lengths 4.0909, 6.4151, 14.0139 Å; angles 90.00, 90.00, 90.00 degrees
Last column: nearest neighbours and their distance in Å.
Element x y z (fractional)
1 Nd 0.0000 0.0000 0.0000  8 Cu 2.93
2 Nd 0.0000 0.5000 0.1902  6 Cu 2.96-2.99
3 Nd 0.0000 0.5000 0.8098  6 Cu 2.96-2.99
4 Nd 0.5000 0.0000 0.3098  6 Cu 2.96-2.99
5 Nd 0.5000 0.0000 0.6902  6 Cu 2.96-2.99
6 Nd 0.5000 0.5000 0.5000  8 Cu 2.93
7 Zn 0.0000 0.0000 0.5000  4 Cu 2.56
8 Zn 0.5000 0.5000 0.0000  4 Cu 2.56
9 Cu 0.0000 0.3027 0.3811  1 Cu 2.53, 1 Zn 2.56
10 Cu 0.0000 0.3027 0.6189  1 Cu 2.53, 1 Zn 2.56
11 Cu 0.0000 0.6973 0.3811  1 Cu 2.53, 1 Zn 2.56
12 Cu 0.0000 0.6973 0.6189  1 Cu 2.53, 1 Zn 2.56
13 Cu 0.5000 0.1973 0.1189  1 Cu 2.53, 1 Zn 2.56
14 Cu 0.5000 0.1973 0.8811  1 Cu 2.53, 1 Zn 2.56
15 Cu 0.5000 0.8027 0.1189  1 Cu 2.53, 1 Zn 2.56
16 Cu 0.5000 0.8027 0.8811  1 Cu 2.53, 1 Zn 2.56